The following is a DFT calculation (GGA+U) of a geometry-optimized Cr3NiS6O24 structure.

POSCAR file:
```
Cr3NiS6O24
1.0
4.1463 2.3938 7.4629
-4.1463 2.3938 7.4629
0.0000 -4.7877 7.4629
Cr Ni S O
3 1 6 24
direct
0.0000 0.0000 0.0000
0.2035 0.2035 0.2035
0.7106 0.7106 0.7106
0.5051 0.5051 0.5051
0.1021 0.3957 0.8184
0.3142 0.8928 0.6067
0.3957 0.8184 0.1022
0.6067 0.3142 0.8928
0.8184 0.1021 0.3957
0.8928 0.6067 0.3142
0.0118 0.0689 0.3787
0.0297 0.4015 0.3368
0.0468 0.2486 0.8461
0.0689 0.3787 0.0118
0.1172 0.9812 0.7386
0.2486 0.8461 0.0468
0.3053 0.3666 0.6844
0.3262 0.7039 0.6414
0.3368 0.0297 0.4015
0.3666 0.6844 0.3053
0.3787 0.0118 0.0689
0.4015 0.3368 0.0297
0.4664 0.8718 0.6486
0.5931 0.7361 0.9690
0.6414 0.3262 0.7039
0.6486 0.4664 0.8718
0.6844 0.3053 0.3666
0.7039 0.6414 0.3262
0.7361 0.9690 0.5931
0.7386 0.1172 0.9812
0.8461 0.0468 0.2486
0.8718 0.6486 0.4664
0.9690 0.5931 0.7361
0.9812 0.7386 0.1172
```

Computed properties:
Energy (eV/atom): -6.391
SG: R3 (146)
N(E_F) (states/eV per cell): 15.577
Total moment (μB/f.u.): 9.83
ρ (Mg/m³): 2.96